1.
Crystalline Na2PrZnSn2 at its relaxed geometry. Source: the Alexandria database, functional PBE.

abc: 4.774 7.764 8.946
angles: 90.00 90.00 90.00
Element x y z (fractional)
1 Na 0.500 0.016 0.081
2 Na 0.000 0.332 0.150
3 Na 0.000 0.832 0.850
4 Na 0.500 0.516 0.919
5 Sn 0.500 0.789 0.623
6 Sn 0.000 0.737 0.188
7 Sn 0.500 0.289 0.377
8 Sn 0.000 0.237 0.812
9 Zn 0.500 0.159 0.677
10 Zn 0.500 0.659 0.323
11 Pr 0.000 0.012 0.467
12 Pr 0.000 0.512 0.533

## Properties
Density of states at the Fermi level   2.8 states/eV/f.u.
E_tot   -3.143 eV per atom

2.
Crystalline Na4SrPr at its relaxed geometry. Source: the Alexandria database, functional PBE.

abc: 6.861 6.861 6.861
angles: 60.00 60.00 60.00
Element x y z (fractional)
1 Na 0.626 0.123 0.626
2 Na 0.626 0.626 0.626
3 Na 0.123 0.626 0.626
4 Na 0.626 0.626 0.123
5 Sr 0.250 0.250 0.250
6 Pr 0.000 0.000 0.000

## Properties
Density of states at the Fermi level   6.4 states/eV/f.u.
E_tot   -1.790 eV per atom